1.
AlMoOs at its PBEsol-relaxed geometry, computed with meta-GGA SCAN.

Calculated values
- Symmetry: No. 107
- Fermi-level density of states: 0.515 states/eV per atom
- E_tot: -38.59 eV/atom

Unit cell a=2.9503 b=2.9503 c=5.3141 alpha=106.12 beta=106.12 gamma=90.00
Sites, in units of the cell vectors:
1 Mo 0.6706 0.6706 0.3412
2 Os 0.3354 0.3354 0.6707
3 Al 0.9940 0.9940 0.9881

***

2.
Nd4Rh at its PBEsol-relaxed geometry, computed with meta-GGA SCAN.

Calculated values
- Symmetry: No. 6
- Fermi-level density of states: 1.051 states/eV per atom
- E_tot: -42.00 eV/atom

Unit cell a=6.3457 b=7.0994 c=9.8399 alpha=90.00 beta=90.00 gamma=90.28
Sites, in units of the cell vectors:
1 Nd 0.8453 0.4764 0.0000
2 Nd 0.6539 0.9665 0.0000
3 Nd 0.1404 0.5331 0.5000
4 Nd 0.3464 0.0303 0.5000
5 Nd 0.3312 0.3193 0.8159
6 Nd 0.1604 0.8218 0.1833
7 Nd 0.6604 0.6775 0.3127
8 Nd 0.8254 0.1785 0.6812
9 Nd 0.6604 0.6775 0.6873
10 Nd 0.8254 0.1785 0.3188
11 Nd 0.3312 0.3193 0.1841
12 Nd 0.1604 0.8218 0.8167
13 Rh 0.4181 0.6195 0.0000
14 Rh 0.9195 0.8789 0.5000
15 Rh 0.5635 0.3793 0.5000

***

3.
ScIn5 at its PBEsol-relaxed geometry, computed with meta-GGA SCAN.

Calculated values
- Symmetry: No. 65
- Fermi-level density of states: 0.534 states/eV per atom
- E_tot: -30.38 eV/atom

Unit cell a=4.3449 b=4.4085 c=7.5784 alpha=73.09 beta=90.00 gamma=90.00
Sites, in units of the cell vectors:
1 In 0.5000 0.3343 0.3314
2 In 0.0000 0.1568 0.6863
3 In 0.5000 0.0000 0.0000
4 In 0.0000 0.8432 0.3137
5 In 0.5000 0.6657 0.6686
6 Sc 0.0000 0.5000 0.0000

***

4.
LiTc2Pb at its PBEsol-relaxed geometry, computed with meta-GGA SCAN.

Calculated values
- Symmetry: No. 99
- Fermi-level density of states: 0.433 states/eV per atom
- E_tot: -36.91 eV/atom

Unit cell a=3.0711 b=3.0711 c=6.6526 alpha=90.00 beta=90.00 gamma=90.00
Sites, in units of the cell vectors:
1 Li 0.0000 0.0000 0.4696
2 Pb 0.5000 0.5000 0.7340
3 Tc 0.0000 0.0000 0.0447
4 Tc 0.5000 0.5000 0.2517

***

5.
Sr2LiPd2 at its PBEsol-relaxed geometry, computed with meta-GGA SCAN.

Calculated values
- Offset from the most stable computed form: 0 meV/atom
- Symmetry: No. 127
- Fermi-level density of states: 0.467 states/eV per atom
- E_tot: -22.97 eV/atom

Unit cell a=4.2457 b=7.7168 c=7.7168 alpha=90.00 beta=90.00 gamma=90.00
Sites, in units of the cell vectors:
1 Sr 0.5000 0.1710 0.6710
2 Sr 0.5000 0.6710 0.8290
3 Sr 0.5000 0.8290 0.3290
4 Sr 0.5000 0.3290 0.1710
5 Pd 0.0000 0.3753 0.8753
6 Pd 0.0000 0.8753 0.6247
7 Pd 0.0000 0.6247 0.1247
8 Pd 0.0000 0.1247 0.3753
9 Li 0.0000 0.0000 0.0000
10 Li 0.0000 0.5000 0.5000

***

6.
Zr3Be at its PBEsol-relaxed geometry, computed with meta-GGA SCAN.

Calculated values
- Offset from the most stable computed form: 57 meV/atom
- Symmetry: No. 44
- Fermi-level density of states: 0.741 states/eV per atom
- E_tot: -24.05 eV/atom

Unit cell a=3.1736 b=4.7909 c=5.7842 alpha=114.46 beta=105.92 gamma=90.00
Sites, in units of the cell vectors:
1 Be 0.0000 0.0818 0.0000
2 Zr 0.5000 0.5829 0.0000
3 Zr 0.2903 0.8746 0.5806
4 Zr 0.7097 0.2940 0.4194

***

7.
TaSbIr2 at its PBEsol-relaxed geometry, computed with meta-GGA SCAN.

Calculated values
- Symmetry: No. 122
- Fermi-level density of states: 0.523 states/eV per atom
- E_tot: -61.32 eV/atom
- Formation energy (no corrections): 19 kJ/mol of atoms

Unit cell a=5.7859 b=5.7859 c=7.0596 alpha=114.19 beta=114.19 gamma=90.00
Sites, in units of the cell vectors:
1 Sb 0.7500 0.2500 0.5000
2 Sb 0.5000 0.5000 0.0000
3 Ir 0.3649 0.8750 0.2500
4 Ir 0.8851 0.3750 0.2500
5 Ir 0.1250 0.1149 0.7500
6 Ir 0.6250 0.6351 0.7500
7 Ta 0.2500 0.7500 0.5000
8 Ta 0.0000 0.0000 0.0000

***

8.
Li2PF at its PBEsol-relaxed geometry, computed with meta-GGA SCAN.

Calculated values
- Symmetry: No. 225
- Fermi-level density of states: 0.315 states/eV per atom
- E_tot: -5.49 eV/atom
- Formation energy (no corrections): -78 kJ/mol of atoms

Unit cell a=4.2500 b=4.2500 c=4.2500 alpha=60.00 beta=60.00 gamma=60.00
Last column: magnetic moment on the atom in μB.
Sites, in units of the cell vectors:
1 P 0.5000 0.5000 0.5000  0.77
2 F 0.0000 0.0000 0.0000  0.27
3 Li 0.2500 0.2500 0.2500  0.02
4 Li 0.7500 0.7500 0.7500  0.02

***

9.
TiSeSN2 at its PBEsol-relaxed geometry, computed with meta-GGA SCAN.

Calculated values
- Offset from the most stable computed form: 0 meV/atom
- Symmetry: No. 123
- Fermi-level density of states: 0.726 states/eV per atom
- E_tot: -12.39 eV/atom
- Formation energy (no corrections): 46 kJ/mol of atoms

Unit cell a=3.8023 b=3.8023 c=5.1498 alpha=90.00 beta=90.00 gamma=90.00
Sites, in units of the cell vectors:
1 S 0.0000 0.0000 0.5000
2 N 0.0000 0.5000 0.0000
3 N 0.5000 0.0000 0.0000
4 Se 0.5000 0.5000 0.5000
5 Ti 0.0000 0.0000 0.0000

***

10.
MnZn2Re at its PBEsol-relaxed geometry, computed with meta-GGA SCAN.

Calculated values
- Offset from the most stable computed form: 29 meV/atom
- Symmetry: No. 35
- Fermi-level density of states: 0.478 states/eV per atom
- E_tot: -29.06 eV/atom

Unit cell a=2.6107 b=2.6107 c=8.2550 alpha=90.00 beta=90.00 gamma=106.84
Last column: magnetic moment on the atom in μB.
Sites, in units of the cell vectors:
1 Mn 0.0000 0.0000 0.4983  2.78
2 Re 0.5000 0.5000 0.2642  -0.23
3 Zn 0.0000 0.0000 0.9990  0.00
4 Zn 0.5000 0.5000 0.7384  -0.04

***

11.
Sc2BeTe at its PBEsol-relaxed geometry, computed with meta-GGA SCAN.

Calculated values
- Offset from the most stable computed form: 0 meV/atom
- Symmetry: No. 38
- Fermi-level density of states: 0.613 states/eV per atom
- E_tot: -18.07 eV/atom
- Formation energy (no corrections): -53 kJ/mol of atoms

Unit cell a=3.7263 b=3.9957 c=5.5217 alpha=111.21 beta=90.00 gamma=90.00
Sites, in units of the cell vectors:
1 Sc 0.0000 0.9678 0.9355
2 Sc 0.5000 0.2658 0.5316
3 Be 0.0000 0.7159 0.4318
4 Te 0.5000 0.5506 0.1011

***

12.
TbAgHg2 at its PBEsol-relaxed geometry, computed with meta-GGA SCAN.

Calculated values
- Symmetry: No. 225
- Fermi-level density of states: 0.395 states/eV per atom
- E_tot: -54.08 eV/atom

Unit cell a=4.9123 b=4.9123 c=4.9123 alpha=60.00 beta=60.00 gamma=60.00
Sites, in units of the cell vectors:
1 Tb 0.0000 0.0000 0.0000
2 Hg 0.2500 0.2500 0.2500
3 Hg 0.7500 0.7500 0.7500
4 Ag 0.5000 0.5000 0.5000